<1>
SnSBrCl2: relaxed, PBE.

Properties
Total magnetization (Bohr magnetons per cell): 1.7

```
data_SnSBrCl2
_chemical_formula_sum 'Sn1 S1 Br1 Cl2'
_symmetry_space_group_name_H-M 'P 4/m m m'
_symmetry_Int_Tables_number 123
_symmetry_space_group_name_Hall '-P 4 2'
_cell_length_a 5.138
_cell_length_b 5.138
_cell_length_c 5.242
_cell_angle_alpha 90.00
_cell_angle_beta 90.00
_cell_angle_gamma 90.00
loop_
_atom_site_label
_atom_site_type_symbol
_atom_site_fract_x
_atom_site_fract_y
_atom_site_fract_z
Sn1 Sn 0.000 0.000 0.000
S1 S 0.000 0.000 0.500
Br1 Br 0.500 0.500 0.500
Cl1 Cl 0.000 0.500 0.000
```

=====

<2>
SnSBrCl2: relaxed, PBE.

Properties
Total magnetization (Bohr magnetons per cell): 0.0

```
data_SnSBrCl2
_chemical_formula_sum 'Sn1 S1 Br1 Cl2'
_symmetry_space_group_name_H-M 'P 4/m m m'
_symmetry_Int_Tables_number 123
_symmetry_space_group_name_Hall '-P 4 2'
_cell_length_a 5.040
_cell_length_b 5.040
_cell_length_c 5.449
_cell_angle_alpha 90.00
_cell_angle_beta 90.00
_cell_angle_gamma 90.00
loop_
_atom_site_label
_atom_site_type_symbol
_atom_site_fract_x
_atom_site_fract_y
_atom_site_fract_z
Sn1 Sn 0.000 0.000 0.000
S1 S 0.500 0.500 0.000
Br1 Br 0.500 0.500 0.500
Cl1 Cl 0.000 0.500 0.500
```

=====

Of them, <2> has the lowest stability.

=====

<1>
TcSBrCl2: relaxed, PBE.

Properties
Total magnetization (Bohr magnetons per cell): 4.6

```
data_TcSBrCl2
_chemical_formula_sum 'Tc1 S1 Br1 Cl2'
_symmetry_space_group_name_H-M 'P 4/m m m'
_symmetry_Int_Tables_number 123
_symmetry_space_group_name_Hall '-P 4 2'
_cell_length_a 5.047
_cell_length_b 5.047
_cell_length_c 5.230
_cell_angle_alpha 90.00
_cell_angle_beta 90.00
_cell_angle_gamma 90.00
loop_
_atom_site_label
_atom_site_type_symbol
_atom_site_fract_x
_atom_site_fract_y
_atom_site_fract_z
Tc1 Tc 0.000 0.000 0.000
S1 S 0.500 0.500 0.000
Br1 Br 0.500 0.500 0.500
Cl1 Cl 0.000 0.500 0.500
```

=====

<2>
TcSBrCl2: relaxed, PBE.

Properties
Total magnetization (Bohr magnetons per cell): 0.0

```
data_TcSBrCl2
_chemical_formula_sum 'Tc1 S1 Br1 Cl2'
_symmetry_space_group_name_H-M 'P 4/m m m'
_symmetry_Int_Tables_number 123
_symmetry_space_group_name_Hall '-P 4 2'
_cell_length_a 4.819
_cell_length_b 4.819
_cell_length_c 4.589
_cell_angle_alpha 90.00
_cell_angle_beta 90.00
_cell_angle_gamma 90.00
loop_
_atom_site_label
_atom_site_type_symbol
_atom_site_fract_x
_atom_site_fract_y
_atom_site_fract_z
Tc1 Tc 0.000 0.000 0.000
S1 S 0.000 0.000 0.500
Br1 Br 0.500 0.500 0.500
Cl1 Cl 0.000 0.500 0.000
```

=====

Of them, <1> has the lowest stability.

=====

<1>
TlS2BrCl: relaxed, PBE.

Properties
Total magnetization (Bohr magnetons per cell): 3.3

```
data_TlS2BrCl
_chemical_formula_sum 'Tl1 S2 Br1 Cl1'
_symmetry_space_group_name_H-M 'P 4/m m m'
_symmetry_Int_Tables_number 123
_symmetry_space_group_name_Hall '-P 4 2'
_cell_length_a 5.380
_cell_length_b 5.380
_cell_length_c 5.210
_cell_angle_alpha 90.00
_cell_angle_beta 90.00
_cell_angle_gamma 90.00
loop_
_atom_site_label
_atom_site_type_symbol
_atom_site_fract_x
_atom_site_fract_y
_atom_site_fract_z
Tl1 Tl 0.000 0.000 0.000
S1 S 0.000 0.500 0.000
Br1 Br 0.500 0.500 0.500
Cl1 Cl 0.000 0.000 0.500
```

=====

<2>
TlS2BrCl: relaxed, PBE.

Properties
Total magnetization (Bohr magnetons per cell): 0.0

```
data_TlS2BrCl
_chemical_formula_sum 'Tl1 S2 Br1 Cl1'
_symmetry_space_group_name_H-M 'P 4/m m m'
_symmetry_Int_Tables_number 123
_symmetry_space_group_name_Hall '-P 4 2'
_cell_length_a 4.799
_cell_length_b 4.799
_cell_length_c 6.838
_cell_angle_alpha 90.00
_cell_angle_beta 90.00
_cell_angle_gamma 90.00
loop_
_atom_site_label
_atom_site_type_symbol
_atom_site_fract_x
_atom_site_fract_y
_atom_site_fract_z
Tl1 Tl 0.000 0.000 0.000
S1 S 0.000 0.500 0.500
Br1 Br 0.500 0.500 0.500
Cl1 Cl 0.500 0.500 0.000
```

=====

Of them, <1> has the lowest stability.